[1]
PrGaNi: optimized geometry, PBE.

**Theoretical density**: 7.3 g/cm³
**Crystal system**: orthorhombic
**DFT formation energy**: -0.537 eV/atom
**Uncorrected energy**: -5.0666 eV per atom
**N(E_F)**: 2.09 states/eV/f.u.

abc: 5.1904 4.2110 11.2798
angles: 90.00 90.00 90.00
Atoms (fractional coordinates):
Pr1 0.1235 0.2500 0.1344
Pr2 0.3765 0.7500 0.6344
Pr3 0.6235 0.2500 0.3656
Pr4 0.8765 0.7500 0.8656
Ga1 0.1375 0.7500 0.3506
Ga2 0.3625 0.2500 0.8506
Ga3 0.6375 0.7500 0.1494
Ga4 0.8625 0.2500 0.6494
Ni1 0.1138 0.2500 0.4611
Ni2 0.3862 0.7500 0.9611
Ni3 0.6138 0.2500 0.0389
Ni4 0.8862 0.7500 0.5389

---

[2]
Zr8Bi2Mo: optimized geometry, PBE.

**Theoretical density**: 8.1 g/cm³
**Crystal system**: orthorhombic
**DFT formation energy**: -0.119 eV/atom
**Uncorrected energy**: -8.0261 eV per atom
**N(E_F)**: 6.76 states/eV/f.u.

abc: 8.4545 8.4545 8.4545
angles: 144.67 132.82 60.29
Atoms (fractional coordinates):
Zr1 0.1213 0.3632 0.7580
Zr2 0.1723 0.1723 0.0000
Zr3 0.2502 0.0000 0.2502
Zr4 0.3948 0.6368 0.7580
Zr5 0.6052 0.3632 0.2420
Zr6 0.7498 0.0000 0.7498
Zr7 0.8277 0.8277 0.0000
Zr8 0.8787 0.6368 0.2420
Bi1 0.3151 0.8151 0.5000
Bi2 0.6849 0.1849 0.5000
Mo1 0.0000 0.5000 0.5000

---

[3]
LiZnAu2O: optimized geometry, PBE.

**Theoretical density**: 7.2 g/cm³
**Crystal system**: tetragonal
**Uncorrected energy**: -2.2773 eV per atom
**N(E_F)**: 5.78 states/eV/f.u.

abc: 4.7528 4.7528 4.8957
angles: 90.00 90.00 90.00
Atoms (fractional coordinates):
Li1 0.0000 0.0000 0.0000
Zn1 0.0000 0.0000 0.5000
Au1 0.0000 0.5000 0.5000
Au2 0.5000 0.0000 0.5000
O1 0.5000 0.5000 0.0000

---

[4]
Hf6Fe2Bi: optimized geometry, PBE.

**Theoretical density**: 12.6 g/cm³
**Crystal system**: orthorhombic
**DFT formation energy**: -0.097 eV/atom
**Uncorrected energy**: -9.0441 eV per atom
**N(E_F)**: 9.87 states/eV/f.u.

abc: 7.8436 7.8436 7.8436
angles: 114.15 112.17 102.33
Atoms (fractional coordinates):
Hf1 0.0204 0.2387 0.7817
Hf2 0.1817 0.3035 0.4852
Hf3 0.1817 0.6965 0.8783
Hf4 0.3320 0.0196 0.6876
Hf5 0.3320 0.6444 0.3124
Hf6 0.4569 0.2387 0.2183
Hf7 0.5431 0.7613 0.7817
Hf8 0.6680 0.3556 0.6876
Hf9 0.6680 0.9804 0.3124
Hf10 0.8183 0.3035 0.1217
Hf11 0.8183 0.6965 0.5148
Hf12 0.9796 0.7613 0.2183
Fe1 0.1324 0.6324 0.5000
Fe2 0.3404 0.0000 0.3404
Fe3 0.6596 0.0000 0.6596
Fe4 0.8676 0.3676 0.5000
Bi1 0.0000 0.0000 0.0000
Bi2 0.5000 0.5000 0.0000

---

[5]
NaHo6Te8: optimized geometry, PBE.

**Theoretical density**: 7.3 g/cm³
**Crystal system**: cubic
**Uncorrected energy**: -4.8929 eV per atom
**N(E_F)**: 4.49 states/eV/f.u.

abc: 8.6657 8.6657 8.6657
angles: 60.00 60.00 60.00
Atoms (fractional coordinates):
Na1 0.0000 0.0000 0.0000
Ho1 0.0000 0.0000 0.5000
Ho2 0.0000 0.5000 0.0000
Ho3 0.0000 0.5000 0.5000
Ho4 0.5000 0.0000 0.0000
Ho5 0.5000 0.0000 0.5000
Ho6 0.5000 0.5000 0.0000
Te1 0.2500 0.2500 0.2500
Te2 0.2574 0.2574 0.7426
Te3 0.2574 0.7426 0.2574
Te4 0.2574 0.7426 0.7426
Te5 0.7426 0.2574 0.2574
Te6 0.7426 0.2574 0.7426
Te7 0.7426 0.7426 0.2574
Te8 0.7500 0.7500 0.7500

---

[6]
Ag2GeSb: optimized geometry, PBE.

**Theoretical density**: 8.2 g/cm³
**Crystal system**: tetragonal
**Uncorrected energy**: -3.4480 eV per atom
**N(E_F)**: 1.62 states/eV/f.u.

abc: 4.4020 4.4020 4.2761
angles: 90.00 90.00 90.00
Atoms (fractional coordinates):
Ag1 0.0000 0.5000 0.0000
Ag2 0.5000 0.0000 0.0000
Ge1 0.0000 0.0000 0.5000
Sb1 0.5000 0.5000 0.5000

---

[7]
Sr4As2N: optimized geometry, PBE.

**Theoretical density**: 4.2 g/cm³
**Crystal system**: tetragonal
**Uncorrected energy**: -4.3892 eV per atom
**N(E_F)**: 5.67 states/eV/f.u.

abc: 8.8659 8.8659 8.8659
angles: 147.43 147.43 46.73
Atoms (fractional coordinates):
Sr1 0.0000 0.5000 0.5000
Sr2 0.1701 0.1701 0.0000
Sr3 0.5000 0.0000 0.5000
Sr4 0.8299 0.8299 0.0000
As1 0.3640 0.3640 0.0000
As2 0.6360 0.6360 0.0000
N1 0.0000 0.0000 0.0000

---

[8]
Pm3Ni2P3: optimized geometry, PBE.

**Theoretical density**: 7.1 g/cm³
**Crystal system**: orthorhombic
**DFT formation energy**: -1.095 eV/atom
**Uncorrected energy**: -6.3510 eV per atom
**N(E_F)**: 4.17 states/eV/f.u.

abc: 5.7338 5.7338 13.9136
angles: 90.00 90.00 139.00
Atoms (fractional coordinates):
Pm1 0.0750 0.9250 0.6070
Pm2 0.0750 0.9250 0.8930
Pm3 0.3597 0.6403 0.7500
Pm4 0.6403 0.3597 0.2500
Pm5 0.9250 0.0750 0.1070
Pm6 0.9250 0.0750 0.3930
Ni1 0.2237 0.7763 0.0923
Ni2 0.2237 0.7763 0.4077
Ni3 0.7763 0.2237 0.5923
Ni4 0.7763 0.2237 0.9077
P1 0.3407 0.6593 0.2500
P2 0.3593 0.6407 0.5470
P3 0.3593 0.6407 0.9530
P4 0.6407 0.3593 0.0470
P5 0.6407 0.3593 0.4530
P6 0.6593 0.3407 0.7500